VASP calculation (PBE) on crystalline Ba2LaMg at its relaxed geometry.

Properties
**E**: -2.433 eV/atom
**Formation energy**: 15.3 kJ per mole of atoms

Lattice parameters (Å, degrees): 4.596 6.066 6.182 90.00 90.00 90.00
Fractional positions:
Ba1 0.000 0.000 0.000
Ba2 0.500 0.500 0.000
La1 0.000 0.500 0.500
Mg1 0.500 0.000 0.500

=====

VASP calculation (PBE) on crystalline Ba2LaMg at its relaxed geometry.

Properties
**E**: -2.417 eV/atom
**Formation energy**: 16.8 kJ per mole of atoms

Lattice parameters (Å, degrees): 6.966 6.966 6.966 134.15 134.15 66.86
Fractional positions:
Ba1 0.250 0.750 0.500
Ba2 0.750 0.250 0.500
La1 0.000 0.000 0.000
Mg1 0.500 0.500 0.000

=====

VASP calculation (PBE) on crystalline Ba2LaMg at its relaxed geometry.

Properties
**E**: -2.497 eV/atom
**Formation energy**: 9.2 kJ per mole of atoms

Lattice parameters (Å, degrees): 7.597 7.597 6.390 114.70 114.70 32.11
Fractional positions:
Ba1 0.000 0.000 0.000
Ba2 0.216 0.216 0.713
La1 0.436 0.436 0.437
Mg1 0.734 0.734 0.230

=====

VASP calculation (PBE) on crystalline BaLaMg14 at its relaxed geometry.

Properties
**Energy above the most stable polymorph in this dataset**: 0 meV/atom
**E**: -1.775 eV/atom
**Formation energy**: 4.6 kJ per mole of atoms

Lattice parameters (Å, degrees): 6.841 6.841 10.543 90.00 90.00 120.00
Fractional positions:
Ba1 0.000 0.000 0.000
La1 0.000 0.000 0.500
Mg1 0.008 0.504 0.500
Mg2 0.015 0.508 0.000
Mg3 0.177 0.354 0.256
Mg4 0.177 0.354 0.744
Mg5 0.177 0.823 0.256
Mg6 0.177 0.823 0.744
Mg7 0.492 0.508 0.000
Mg8 0.492 0.985 0.000
Mg9 0.496 0.504 0.500
Mg10 0.496 0.992 0.500
Mg11 0.646 0.823 0.256
Mg12 0.646 0.823 0.744
Mg13 0.667 0.333 0.250
Mg14 0.667 0.333 0.750

=====

VASP calculation (PBE) on crystalline Ba2LaMg at its relaxed geometry.

Properties
**E**: -2.414 eV/atom
**Formation energy**: 17.2 kJ per mole of atoms

Lattice parameters (Å, degrees): 12.886 12.886 12.886 17.96 17.96 17.96
Fractional positions:
Ba1 0.244 0.244 0.244
Ba2 0.756 0.756 0.756
La1 0.000 0.000 0.000
Mg1 0.500 0.500 0.500

=====

VASP calculation (PBE) on crystalline Ba2LaMg2 at its relaxed geometry.

Properties
**E**: -2.260 eV/atom
**Formation energy**: 12.8 kJ per mole of atoms

Lattice parameters (Å, degrees): 9.447 9.447 4.815 90.00 90.00 90.00
Fractional positions:
Ba1 0.171 0.329 0.000
Ba2 0.329 0.829 0.000
Ba3 0.671 0.171 0.000
Ba4 0.829 0.671 0.000
La1 0.000 0.000 0.500
La2 0.500 0.500 0.500
Mg1 0.125 0.625 0.500
Mg2 0.375 0.125 0.500
Mg3 0.625 0.875 0.500
Mg4 0.875 0.375 0.500